A relaxed structure of Cr2InO, computed with PBE+U.

Results
- offset from the most stable computed form (meV per atom) = 760
- total magnetization (μB/f.u.) = 9.306

Structure (CIF):
```
data_Cr2InO
_symmetry_space_group_name_H-M 'F m -3 m'
_symmetry_Int_Tables_number 225
_symmetry_space_group_name_Hall '-F 4 2 3'
_cell_length_a 6.514
_cell_length_b 6.514
_cell_length_c 6.514
_cell_angle_alpha 90.00
_cell_angle_beta 90.00
_cell_angle_gamma 90.00
loop_
_atom_site_label
_atom_site_type_symbol
_atom_site_fract_x
_atom_site_fract_y
_atom_site_fract_z
_atom_site_occupancy
Cr1 Cr 0.250 0.250 0.250 1
In1 In 0.000 0.000 0.000 1
O1 O 0.000 0.000 0.500 1
```